First-principles (PBE-GGA) data for a relaxed structure of PmPrNd4S8, as listed in Alexandria.

extended XYZ file:
```
14
Lattice="-1.0975 -2.9925 -7.7243 -5.8294 -5.8110 -1.4403 -6.8789 1.9588 -4.3013" Properties=species:S:1:pos:R:3 pbc="T T T"
S -3.9103 -3.0877 -7.2877
S -3.5659 -1.5886 -3.3977
Pm -6.9289 -8.8013 -9.1651
S -7.3660 -2.2625 -9.5380
S -7.0144 -6.1819 -8.0547
S -10.2554 -5.2394 -10.0724
Nd -10.3627 -7.8219 -11.3115
S -6.7780 -0.6592 -5.3996
Nd -5.1938 -5.2524 -6.2668
Nd -9.8152 -6.3289 -7.4579
Nd -7.4545 -4.9228 -10.5930
S -6.4300 -4.5885 -3.9416
S -9.9012 -3.7725 -6.1712
Pr -8.6148 -1.5893 -7.1998
```

Output
Symmetry: R3m, No. 160
Calculated density: 4.51 g cm⁻³
Energy relative to the elements, uncorrected: -1.91 eV per atom
Total DFT energy (no corrections): -6.31 eV per atom

---

First-principles (PBE-GGA) data for a relaxed structure of Pm4PrNd3S8, as listed in Alexandria.

extended XYZ file:
```
16
Lattice="-3.5090 -2.9253 -6.7062 2.1896 -7.5169 2.1332 -4.2754 4.5895 5.1442" Properties=species:S:1:pos:R:3 pbc="T T T"
Pr 1.0948 -3.7584 1.0666
S -4.2050 -1.7579 -1.9421
Pm -2.1377 2.2948 2.5721
Nd -0.6597 -5.2211 -2.2865
S -1.3898 -4.0947 2.5133
Pm -1.7545 -1.4626 -3.3531
S -2.4611 -0.2967 1.4172
Nd -1.0429 -1.4637 3.6387
S -3.1337 -5.5559 -0.8460
Nd -2.7974 -2.9263 0.2856
S -6.3518 0.5468 0.6411
Pm -3.8922 0.8321 -0.7810
S -0.9898 -7.8557 -3.4085
Pm 0.0000 0.0000 0.0000
S -4.6050 2.0031 3.9797
S 0.7571 -6.3994 -0.0699
```

Output
Symmetry: R-3m, No. 166
Calculated density: 6.20 g cm⁻³
Energy relative to the elements, uncorrected: -2.02 eV per atom
Total DFT energy (no corrections): -6.47 eV per atom

---

First-principles (PBE-GGA) data for a relaxed structure of PmPrNd2Sb4, as listed in Alexandria.

extended XYZ file:
```
16
Lattice="-1.4843 -4.6965 7.5947 -6.4388 -4.7698 -4.2108 8.3351 0.4242 -3.5007" Properties=species:S:1:pos:R:3 pbc="T T T"
Sb -1.7826 -6.8890 0.7995
Sb -1.0424 -4.5270 -3.0152
Sb 3.1318 -4.3148 -4.7493
Nd 3.4254 -2.1362 2.0470
Pr 0.2060 -4.5211 -0.0584
Sb 6.3404 -1.9438 -2.6575
Sb -5.9283 -7.0983 2.5407
Pm -0.5362 -6.8693 3.7390
Sb 2.1945 -2.1532 -0.9163
Pm -3.2194 -2.3849 -2.1054
Pr 6.8508 -4.2723 4.0940
Nd -3.9615 -4.7332 1.6920
Nd -0.7421 -2.3483 3.7973
Sb 1.4545 -4.5151 2.8984
Nd 4.1675 0.2121 -1.7504
Sb -2.7199 -4.7274 4.6327
```

Output
Symmetry: C2/c, No. 15
Calculated density: 6.72 g cm⁻³
Energy relative to the elements, uncorrected: -1.19 eV per atom
Total DFT energy (no corrections): -5.63 eV per atom

---

First-principles (PBE-GGA) data for a relaxed structure of Pm3Pr2NdSb6, as listed in Alexandria.

extended XYZ file:
```
12
Lattice="-1.3180 -4.0192 -1.5981 -1.8088 -2.7523 8.4138 -7.8554 5.9770 -2.1566" Properties=species:S:1:pos:R:3 pbc="T T T"
Sb -9.6088 1.2592 -1.6387
Pm -6.6331 0.1748 -1.3657
Pr -7.5458 -1.1987 2.8416
Sb -3.6482 -0.9065 -1.1079
Sb -4.5421 -2.3048 3.1460
Sb -7.3341 0.1121 5.7669
Sb -6.4402 1.5103 1.5131
Pr -3.4364 0.4043 1.8175
Sb -1.3734 -2.0537 6.2978
Pm -4.3491 -0.9693 6.0247
Pm -1.5634 -3.3857 3.4078
Nd -0.6590 -2.0096 -0.7990
```

Output
Symmetry: C2/m, No. 12
Calculated density: 6.75 g cm⁻³
Energy relative to the elements, uncorrected: -1.19 eV per atom
Total DFT energy (no corrections): -5.63 eV per atom

---

First-principles (PBE-GGA) data for a relaxed structure of Pm2PrNd4Sc, as listed in Alexandria.

extended XYZ file:
```
8
Lattice="-5.2239 -1.4389 2.5391 -1.8977 -2.2728 -5.1922 0.8870 -8.9929 -3.2712" Properties=species:S:1:pos:R:3 pbc="T T T"
Sc -0.5053 -5.6329 -4.2317
Nd -0.7969 -8.3558 -6.3746
Pm 0.8870 -8.9929 -3.2712
Pm -2.1684 -5.2159 -0.3660
Nd -3.7728 -4.7743 -3.4165
Nd -5.4376 -4.3488 0.4503
Nd -2.4618 -7.9303 -2.5078
Pr -2.6738 -10.8487 -4.5978
```

Output
DFT formation energy: 0.12 eV per atom
Symmetry: P4/mmm, No. 123
Calculated density: 6.50 g cm⁻³
Total DFT energy (no corrections): -4.84 eV per atom

---

First-principles (PBE-GGA) data for a relaxed structure of PmPr4Nd2Sc, as listed in Alexandria.

extended XYZ file:
```
8
Lattice="5.1690 0.0000 0.0000 0.0000 4.9932 1.2543 0.0000 2.4888 11.2162" Properties=species:S:1:pos:R:3 pbc="T T T"
Nd 0.0000 2.4888 11.2162
Pr 0.0001 5.6271 9.2870
Pr 2.5845 4.3541 3.8052
Pr 2.5845 3.1279 8.6653
Sc 0.0000 3.7410 6.2353
Pm 2.5845 2.4966 0.6271
Nd 2.5845 1.2444 5.6081
Pr 5.1690 1.8549 3.1835
```

Output
DFT formation energy: 0.03 eV per atom
Symmetry: Pmmm, No. 47
Calculated density: 6.33 g cm⁻³
Total DFT energy (no corrections): -4.94 eV per atom

---

First-principles (PBE-GGA) data for a relaxed structure of PmPrNd2Sc, as listed in Alexandria.

extended XYZ file:
```
10
Lattice="6.6683 0.0000 0.0000 0.0000 7.8301 1.4867 0.0000 -1.1819 6.2286" Properties=species:S:1:pos:R:3 pbc="T T T"
Pm 3.9240 -0.2955 1.5571
Pr 2.0792 3.0286 5.4148
Pr 4.5891 3.6196 2.3005
Nd 5.2672 4.6357 5.7195
Sc 0.0000 -0.5909 3.1143
Pm 2.7443 -0.8864 4.6714
Nd 1.4010 5.2267 2.6052
Nd 5.2672 1.4215 5.1100
Sc 0.0000 0.0000 0.0000
Nd 1.4010 2.0124 1.9958
```

Output
DFT formation energy: 0.18 eV per atom
Symmetry: Pmma, No. 51
Calculated density: 6.10 g cm⁻³
Total DFT energy (no corrections): -4.90 eV per atom

---

First-principles (PBE-GGA) data for a relaxed structure of Pm5Pr2NdSc, as listed in Alexandria.

extended XYZ file:
```
18
Lattice="-2.4988 -3.5991 -3.2616 -2.5878 -3.5802 10.5071 -8.3967 5.8863 -0.0624" Properties=species:S:1:pos:R:3 pbc="T T T"
Pm -6.4877 -0.1708 0.5850
Pr -10.6045 -1.4223 5.1201
Pm -2.9341 -3.9696 6.6282
Pr -7.2148 3.1605 2.0400
Pr -6.2988 -4.4324 5.1429
Nd -2.1006 -2.8521 0.1828
Pm -7.9832 1.1138 4.8872
Pm -4.8176 -1.0955 4.8999
Pm -5.1443 -7.1178 7.2217
Pm -7.6142 2.6610 -1.6767
Sc -1.7220 -2.2619 3.8152
Pr -3.1158 0.2954 2.0612
Sc -7.7077 -1.8729 3.3980
Pm -6.0024 -3.8606 8.8588
Pm -4.6085 -3.0319 2.3025
Pm -9.8490 0.6320 2.2745
Nd -7.3182 -1.2903 7.0305
Pm -4.2759 2.9764 -0.0085
```

Output
DFT formation energy: 0.12 eV per atom
Symmetry: Cmc2_1, No. 36
Calculated density: 6.41 g cm⁻³
Total DFT energy (no corrections): -4.81 eV per atom

---

First-principles (PBE-GGA) data for a relaxed structure of PmPr5Nd2Sc, as listed in Alexandria.

extended XYZ file:
```
18
Lattice="-3.6725 7.4795 2.3516 -7.7901 -3.7747 -0.1599 6.5932 -3.9741 6.9986" Properties=species:S:1:pos:R:3 pbc="T T T"
Pm 0.4310 -1.0609 4.0472
Pr -2.4650 0.7293 2.9761
Pm -5.3004 0.7915 5.1431
Pr 3.6308 -2.0204 5.3037
Pr 1.2196 1.4407 6.4676
Pr -4.8762 4.1904 4.1401
Pr 0.0000 0.0000 0.0000
Pr -2.4044 -0.9986 6.2141
Nd -3.2445 4.1949 1.4451
Pr -6.0890 -1.7101 2.7226
Sc -1.4053 2.6789 5.2230
Pr 0.0068 -4.4598 5.0501
Nd -3.3892 -0.5047 0.2286
Pr -8.5002 1.7511 3.8866
Sc -3.4641 -2.9482 3.9673
Nd -8.2181 -0.4902 0.7466
Pr -5.7313 1.8524 1.0958
Nd -8.0734 4.2094 1.9631
```

Output
DFT formation energy: 0.28 eV per atom
Symmetry: I4/mcm, No. 140
Calculated density: 6.23 g cm⁻³
Total DFT energy (no corrections): -4.67 eV per atom

---

First-principles (PBE-GGA) data for a relaxed structure of PmPrNd3Sc, as listed in Alexandria.

extended XYZ file:
```
12
Lattice="-3.3139 -1.3614 4.5640 2.3769 -5.0839 -3.4787 9.4776 -0.2307 6.8129" Properties=species:S:1:pos:R:3 pbc="T T T"
Nd 7.3580 -2.1739 4.6943
Nd 0.7464 -3.7092 -0.5644
Pm 7.7900 -5.6326 3.9763
Pr 0.0000 0.0000 0.0000
Nd 3.6234 -2.8653 5.4645
Nd 7.7941 -2.9669 8.4626
Nd 1.1825 -4.5021 3.2038
Sc 2.5799 -1.7434 1.3533
Nd 4.9171 -3.8107 2.4337
Sc 5.9606 -4.9326 6.5449
Pr 4.7388 -0.1154 3.4065
Pm 0.7505 -1.0434 3.9219
```

Output
DFT formation energy: 0.10 eV per atom
Symmetry: Cmcm, No. 63
Calculated density: 6.31 g cm⁻³
Total DFT energy (no corrections): -4.93 eV per atom

---

First-principles (PBE-GGA) data for a relaxed structure of Pm5PrNd2Sc, as listed in Alexandria.

extended XYZ file:
```
18
Lattice="8.1466 0.0000 0.0000 0.0000 8.7198 0.0000 0.0000 0.0000 8.7198" Properties=species:S:1:pos:R:3 pbc="T T T"
Pm 4.0733 0.0000 0.0000
Nd 4.0733 3.3092 7.6691
Pm 1.7753 6.8952 2.5353
Nd 4.0733 5.4106 1.0507
Sc 0.0000 4.3599 0.0000
Nd 4.0733 7.6691 5.4106
Pm 6.3713 2.5353 1.8246
Sc 0.0000 0.0000 4.3599
Pm 4.0733 4.3599 4.3599
Pm 6.3713 1.8246 6.1845
Pm 1.7753 6.1845 6.8952
Pm 1.7753 1.8246 6.1845
Pr 0.0000 0.0000 0.0000
Pm 1.7753 2.5353 1.8246
Pr 0.0000 4.3599 4.3599
Pm 6.3713 6.8952 2.5353
Nd 4.0733 1.0507 3.3092
Pm 6.3713 6.1845 6.8952
```

Output
DFT formation energy: 0.27 eV per atom
Symmetry: P4/mbm, No. 127
Calculated density: 6.43 g cm⁻³
Total DFT energy (no corrections): -4.67 eV per atom

---

First-principles (PBE-GGA) data for a relaxed structure of Pm2Pr5NdSc, as listed in Alexandria.

extended XYZ file:
```
18
Lattice="-4.0800 -3.4796 -1.1525 7.7735 -6.5398 5.2764 -4.4026 2.1367 9.1344" Properties=species:S:1:pos:R:3 pbc="T T T"
Pm 0.1904 -1.3704 3.4634
Pr 3.6448 -9.9830 4.1862
Pr 4.2381 -6.1544 3.5775
Nd -0.9002 -3.4196 0.4602
Pm 1.2256 -7.5376 5.3674
Sc 2.4074 -3.5128 2.0834
Pr -2.8172 -2.7620 5.2615
Pr -2.2232 1.0662 4.6514
Pr -5.3751 -0.1227 6.3480
Pm -0.9834 -6.4716 9.9690
Pr 4.5964 -7.7262 7.0546
Pr 0.1146 -3.1071 8.9748
Pr -0.3561 -5.0026 3.3133
Sc -0.9911 -5.4013 6.7652
Pr -3.0944 -3.6806 9.0159
Nd 2.3219 -5.4973 8.3772
Pr 1.7642 -3.9007 5.5311
Pm -1.9905 -0.3180 8.0066
```

Output
DFT formation energy: 0.12 eV per atom
Symmetry: Cmc2_1, No. 36
Calculated density: 6.22 g cm⁻³
Total DFT energy (no corrections): -4.83 eV per atom

---

First-principles (PBE-GGA) data for a relaxed structure of PmPrNd4Se8, as listed in Alexandria.

extended XYZ file:
```
14
Lattice="-6.7938 -4.1652 -3.5325 1.1067 -7.8468 -3.6311 -3.2548 -7.0881 3.8626" Properties=species:S:1:pos:R:3 pbc="T T T"
Se -5.1474 -10.9268 -4.4505
Se -6.6773 -14.2590 -2.6095
Se -3.7868 -8.1571 1.1492
Se -5.7365 -6.7502 -2.5178
Se -1.5313 -8.7098 -2.5703
Se -2.2691 -4.8513 -0.6706
Se -3.1943 -12.3580 -0.7948
Nd -7.8637 -11.6367 -3.4199
Nd -3.9234 -13.4729 -3.4691
Pm -5.6877 -12.0134 -7.1606
Pr -4.9796 -10.7044 0.6890
Nd -7.3117 -15.5502 -5.2308
Nd -3.9631 -8.3978 -3.9857
Se -7.4240 -10.3870 -0.7420
```

Output
Symmetry: R3m, No. 160
Calculated density: 5.31 g cm⁻³
Energy relative to the elements, uncorrected: -1.73 eV per atom
Total DFT energy (no corrections): -5.76 eV per atom

---

First-principles (PBE-GGA) data for a relaxed structure of Pm3PrNd2Se6, as listed in Alexandria.

extended XYZ file:
```
12
Lattice="-1.5917 -3.2779 6.3388 -3.8781 -1.5152 -6.0103 6.2152 -3.4981 -1.6500" Properties=species:S:1:pos:R:3 pbc="T T T"
Se 0.9290 -6.4882 1.0846
Pm 0.3727 -4.1456 -0.6607
Pr 0.0000 0.0000 0.0000
Se -0.1836 -1.8030 -2.4061
Pm -0.3917 -3.5563 -4.7895
Se 0.1627 -5.8974 -3.0546
Pm 1.1371 -4.7350 3.4680
Se -2.5242 -4.4789 -0.1720
Se 0.5828 -2.3939 1.7331
Nd -3.1155 -2.1031 -1.8916
Se 3.2696 -3.8123 -1.1495
Nd -2.3543 -2.6900 2.2201
```

Output
Symmetry: C2/m, No. 12
Calculated density: 6.97 g cm⁻³
Energy relative to the elements, uncorrected: -1.84 eV per atom
Total DFT energy (no corrections): -5.96 eV per atom

---

First-principles (PBE-GGA) data for a relaxed structure of PmPr3Nd2Se6, as listed in Alexandria.

extended XYZ file:
```
12
Lattice="7.3526 -0.0177 -0.0029 -3.6898 6.3598 -0.0029 -1.2246 -2.1203 6.9372" Properties=species:S:1:pos:R:3 pbc="T T T"
Pm 0.0000 0.0000 0.0000
Pr -2.4479 4.2288 3.4657
Se 2.4482 4.2391 1.7085
Se 0.0027 4.2297 5.2290
Nd 3.6715 2.1083 -0.0029
Se -1.2241 2.1057 1.7025
Pr 1.2191 2.1109 3.4657
Se 3.6623 2.1162 5.2290
Se -0.0100 -0.0172 5.2230
Se 2.4356 -0.0079 1.7025
Nd -0.0087 4.2338 -0.0029
Pr 4.8862 -0.0069 3.4657
```

Output
Symmetry: C2/m, No. 12
Calculated density: 6.82 g cm⁻³
Energy relative to the elements, uncorrected: -1.84 eV per atom
Total DFT energy (no corrections): -5.97 eV per atom

---

First-principles (PBE-GGA) data for a relaxed structure of PmPr2Nd3Se6, as listed in Alexandria.

extended XYZ file:
```
12
Lattice="4.2206 0.0000 0.0000 0.0000 8.5117 0.3042 -2.1103 -2.4521 8.8941" Properties=species:S:1:pos:R:3 pbc="T T T"
Pr 2.1103 4.0363 6.1257
Nd 2.1103 -0.2103 5.9599
Se 0.0000 6.1847 6.2319
Nd 2.1103 4.2558 0.1521
Pm 2.1103 0.0000 0.0000
Se 0.0000 6.4012 0.2475
Se 2.1103 -0.1252 2.9664
Nd 0.0000 6.2699 3.2384
Se 2.1103 4.1649 3.1269
Pr 0.0000 2.0232 3.0726
Se 2.1103 -0.3416 8.9508
Se 0.0000 1.8946 6.0714
```

Output
Symmetry: C2/m, No. 12
Calculated density: 6.86 g cm⁻³
Energy relative to the elements, uncorrected: -1.84 eV per atom
Total DFT energy (no corrections): -5.97 eV per atom

---

First-principles (PBE-GGA) data for a relaxed structure of Pm3Pr4NdSe8, as listed in Alexandria.

extended XYZ file:
```
16
Lattice="-8.3702 -0.4067 -1.1886 -0.8165 -4.3500 7.2384 3.9142 7.5040 0.0039" Properties=species:S:1:pos:R:3 pbc="T T T"
Se -2.3094 -1.1807 1.5483
Pr 0.0000 0.0000 0.0000
Se -4.5292 2.3485 0.9561
Nd -0.4082 -2.1750 3.6192
Se -0.3461 2.5696 1.5583
Pr 1.9571 3.7520 0.0019
Pm -4.5933 -2.3783 3.0249
Se 1.2079 4.1306 5.0976
Pr -4.1851 -0.2034 -0.5943
Pm 1.5488 1.5770 3.6211
Pr -2.2280 3.5486 -0.5924
Se -0.7432 0.3988 5.0976
Se -6.4803 -1.3833 0.9560
Se -2.9631 3.9280 4.5054
Se -4.9263 0.1777 4.4954
Pm -2.6362 1.3736 3.0268
```

Output
Symmetry: R-3m, No. 166
Calculated density: 6.85 g cm⁻³
Energy relative to the elements, uncorrected: -1.84 eV per atom
Total DFT energy (no corrections): -5.96 eV per atom

---

First-principles (PBE-GGA) data for a relaxed structure of Pm2Pr3NdSe6, as listed in Alexandria.

extended XYZ file:
```
12
Lattice="-3.4774 3.0777 5.6854 0.6628 -7.2988 -0.4200 6.9296 1.7579 1.7115" Properties=species:S:1:pos:R:3 pbc="T T T"
Pr 0.6735 2.2369 5.5293
Se 4.5208 0.2574 2.6283
Pm -2.0967 -0.3827 3.6493
Pr 3.4414 -4.7001 1.4476
Se 1.6919 -2.3599 0.7090
Pm -0.7179 -3.8384 1.6161
Nd 0.0000 0.0000 0.0000
Pr 2.0575 -1.2316 3.4884
Se 3.8107 -3.5812 4.2216
Se -0.4059 -2.7206 4.3486
Se 0.3043 1.1179 2.7553
Se 2.4230 -0.1034 6.2678
```

Output
Symmetry: C2/m, No. 12
Calculated density: 6.85 g cm⁻³
Energy relative to the elements, uncorrected: -1.84 eV per atom
Total DFT energy (no corrections): -5.97 eV per atom

---

First-principles (PBE-GGA) data for a relaxed structure of Pm3PrNd4Se8, as listed in Alexandria.

extended XYZ file:
```
16
Lattice="-7.5785 3.7117 0.4045 -2.9172 -5.3150 -5.8845 3.5992 -3.0304 7.0145" Properties=species:S:1:pos:R:3 pbc="T T T"
Nd 0.0000 0.0000 0.0000
Se -0.8341 -1.9356 2.1344
Se -4.6164 -0.0636 2.3175
Pm -3.4483 -2.3168 0.7673
Nd -3.7893 1.8559 0.2023
Nd 1.7996 -1.5152 3.5072
Nd -1.9897 0.3406 3.7095
Se -4.2531 -4.2321 2.8945
Pr -1.4586 -2.6575 -2.9422
Se -2.6434 -0.4015 -1.3600
Se -6.4010 1.4388 -1.1594
Pm -5.2479 -0.8016 -2.7400
Pm 0.3410 -4.1727 0.5650
Se -6.0625 -2.6980 -0.5999
Se -0.4955 -6.0725 2.6939
Se -2.2801 -4.5701 -0.7830
```

Output
Symmetry: R-3m, No. 166
Calculated density: 6.95 g cm⁻³
Energy relative to the elements, uncorrected: -1.83 eV per atom
Total DFT energy (no corrections): -5.96 eV per atom